A relaxed Y4FeGe8 crystal. Source: the Alexandria database, functional GGA-PBE.

Computed properties:
ρ ... 6183 kg/m³
DFT total energy ... -6.080 eV/atom
Volume ... 266.6 Å³/cell

Cell lengths 4.019, 4.152, 15.975 Å; angles 90.00, 90.00, 90.00 degrees
Space group Pmm2 (No. 25)
Symmetry-distinct sites (fractional):
Y  0.000  0.000  0.000 (multiplicity 1)
Y  0.000  0.500  0.495 (multiplicity 1)
Y  0.500  0.000  0.791 (multiplicity 1)
Y  0.500  0.500  0.291 (multiplicity 1)
Fe  0.000  0.500  0.703 (multiplicity 1)
Ge  0.000  0.000  0.339 (multiplicity 1)
Ge  0.000  0.000  0.635 (multiplicity 1)
Ge  0.000  0.500  0.143 (multiplicity 1)
Ge  0.000  0.500  0.849 (multiplicity 1)
Ge  0.500  0.000  0.147 (multiplicity 1)
Ge  0.500  0.000  0.447 (multiplicity 1)
Ge  0.500  0.500  0.633 (multiplicity 1)
Ge  0.500  0.500  0.954 (multiplicity 1)

A relaxed Fe2PPb crystal. Source: the Alexandria database, functional GGA-PBE.

Computed properties:
ρ ... 8447 kg/m³
DFT total energy ... -6.478 eV/atom
Volume ... 137.5 Å³/cell

Cell lengths 6.060, 3.498, 6.490 Å; angles 90.00, 90.18, 90.00 degrees
Space group Cm (No. 8)
Symmetry-distinct sites (fractional):
Fe  0.000  0.000  0.000 (multiplicity 2)
Fe  0.168  0.500  0.269 (multiplicity 2)
P  0.334  0.000  0.154 (multiplicity 2)
Pb  0.164  0.500  0.683 (multiplicity 2)